# 1
Compound: LiMo2Os
Source: the Alexandria database
Functional: GGA-PBE
Structure: optimized geometry

a b c (Å): 4.868 4.868 2.713
angles (deg): 90.00 90.00 114.12
Fractional positions:
Li1 0.000 0.000 0.000
Mo1 0.000 0.500 0.500
Mo2 0.500 0.000 0.500
Os1 0.500 0.500 0.000

Output
ρ: 11.0 g/cm³
ΔE to the lowest computed polymorph: 85 meV per atom
DOS at the Fermi energy: 3.93 states/eV/f.u.
formation energy from the elements: 0.31 eV per atom
space group: Cmmm, No. 65
uncorrected energy: -33.6 eV per cell


# 2
Compound: LiMo2Os
Source: the Alexandria database
Functional: GGA-PBE
Structure: optimized geometry

a b c (Å): 3.885 3.885 3.834
angles (deg): 90.00 90.00 90.00
Fractional positions:
Li1 0.000 0.000 0.000
Mo1 0.000 0.500 0.500
Mo2 0.500 0.000 0.500
Os1 0.500 0.500 0.000

Output
ρ: 11.2 g/cm³
ΔE to the lowest computed polymorph: 110 meV per atom
DOS at the Fermi energy: 2.60 states/eV/f.u.
formation energy from the elements: 0.33 eV per atom
space group: P4/mmm, No. 123
uncorrected energy: -33.5 eV per cell


# 3
Compound: LiMo4Os
Source: the Alexandria database
Functional: GGA-PBE
Structure: optimized geometry

a b c (Å): 5.155 5.155 5.155
angles (deg): 60.00 60.00 60.00
Fractional positions:
Li1 0.000 0.000 0.000
Mo1 0.374 0.374 0.374
Mo2 0.374 0.374 0.877
Mo3 0.374 0.877 0.374
Mo4 0.877 0.374 0.374
Os1 0.750 0.750 0.750

Output
ρ: 10.0 g/cm³
DOS at the Fermi energy: 4.67 states/eV/f.u.
formation energy from the elements: 0.45 eV per atom
space group: F-43m, No. 216
uncorrected energy: -53.8 eV per cell


# 4
Compound: Li2Mo2Os
Source: the Alexandria database
Functional: GGA-PBE
Structure: optimized geometry

a b c (Å): 6.548 6.548 3.004
angles (deg): 90.00 90.00 90.00
Fractional positions:
Li1 0.115 0.385 0.000
Li2 0.385 0.885 0.000
Li3 0.615 0.115 0.000
Li4 0.885 0.615 0.000
Mo1 0.186 0.686 0.500
Mo2 0.314 0.186 0.500
Mo3 0.686 0.814 0.500
Mo4 0.814 0.314 0.500
Os1 0.000 0.000 0.000
Os2 0.500 0.500 0.000

Output
ρ: 10.2 g/cm³
ΔE to the lowest computed polymorph: 0 meV per atom
DOS at the Fermi energy: 2.94 states/eV/f.u.
formation energy from the elements: 0.59 eV per atom
space group: P4/mbm, No. 127
uncorrected energy: -67.5 eV per cell


# 5
Compound: LiMo2Os
Source: the Alexandria database
Functional: GGA-PBE
Structure: optimized geometry

a b c (Å): 5.112 5.112 2.646
angles (deg): 98.31 98.31 117.86
Fractional positions:
Li1 0.000 0.000 0.000
Mo1 0.000 0.500 0.500
Mo2 0.500 0.000 0.500
Os1 0.500 0.500 0.000

Output
ρ: 11.0 g/cm³
ΔE to the lowest computed polymorph: 35 meV per atom
DOS at the Fermi energy: 3.53 states/eV/f.u.
formation energy from the elements: 0.26 eV per atom
space group: C2/m, No. 12
uncorrected energy: -33.8 eV per cell


# 6
Compound: LiMo2Os
Source: the Alexandria database
Functional: GGA-PBE
Structure: optimized geometry

a b c (Å): 2.736 2.736 8.440
angles (deg): 90.00 90.00 90.00
Fractional positions:
Li1 0.000 0.000 0.000
Mo1 0.500 0.500 0.272
Mo2 0.500 0.500 0.728
Os1 0.000 0.000 0.500

Output
ρ: 10.2 g/cm³
ΔE to the lowest computed polymorph: 137 meV per atom
DOS at the Fermi energy: 3.27 states/eV/f.u.
formation energy from the elements: 0.36 eV per atom
space group: P4/mmm, No. 123
uncorrected energy: -33.4 eV per cell


# 7
Compound: LiMo2Os
Source: the Alexandria database
Functional: GGA-PBE
Structure: optimized geometry

a b c (Å): 5.146 5.146 5.146
angles (deg): 145.39 130.46 61.84
Fractional positions:
Li1 0.000 0.000 0.000
Mo1 0.258 0.758 0.500
Mo2 0.742 0.242 0.500
Os1 0.500 0.500 0.000

Output
ρ: 11.1 g/cm³
ΔE to the lowest computed polymorph: 29 meV per atom
DOS at the Fermi energy: 3.91 states/eV/f.u.
formation energy from the elements: 0.25 eV per atom
space group: Immm, No. 71
uncorrected energy: -33.8 eV per cell


# 8
Compound: LiMoOs
Source: the Alexandria database
Functional: GGA-PBE
Structure: optimized geometry

a b c (Å): 4.870 4.870 4.870
angles (deg): 142.75 142.75 53.70
Fractional positions:
Li1 0.000 0.000 0.000
Mo1 0.679 0.679 0.000
Os1 0.336 0.336 0.000

Output
ρ: 11.6 g/cm³
ΔE to the lowest computed polymorph: 123 meV per atom
DOS at the Fermi energy: 2.77 states/eV/f.u.
formation energy from the elements: 0.25 eV per atom
space group: I4mm, No. 107
uncorrected energy: -23.2 eV per cell


# 9
Compound: LiMoOs
Source: the Alexandria database
Functional: GGA-PBE
Structure: optimized geometry

a b c (Å): 4.149 4.149 4.149
angles (deg): 60.00 60.00 60.00
Fractional positions:
Li1 0.000 0.000 0.000
Mo1 0.500 0.500 0.500
Os1 0.750 0.750 0.750

Output
ρ: 9.6 g/cm³
ΔE to the lowest computed polymorph: 497 meV per atom
DOS at the Fermi energy: 3.95 states/eV/f.u.
formation energy from the elements: 0.63 eV per atom
space group: F-43m, No. 216
uncorrected energy: -22.1 eV per cell


# 10
Compound: Li2Mo2Os
Source: the Alexandria database
Functional: GGA-PBE
Structure: optimized geometry

a b c (Å): 5.694 5.694 5.694
angles (deg): 142.96 142.96 53.39
Fractional positions:
Li1 0.081 0.081 0.000
Li2 0.919 0.919 0.000
Mo1 0.250 0.750 0.500
Mo2 0.750 0.250 0.500
Os1 0.500 0.500 0.000

Output
ρ: 9.9 g/cm³
ΔE to the lowest computed polymorph: 172 meV per atom
DOS at the Fermi energy: 2.87 states/eV/f.u.
formation energy from the elements: 0.76 eV per atom
space group: I4/mmm, No. 139
uncorrected energy: -32.9 eV per cell


# 11
Compound: LiMo2Os
Source: the Alexandria database
Functional: GGA-PBE
Structure: optimized geometry

a b c (Å): 3.183 3.183 5.654
angles (deg): 90.00 90.00 90.00
Fractional positions:
Li1 0.000 0.000 0.000
Mo1 0.000 0.000 0.511
Mo2 0.500 0.500 0.242
Os1 0.500 0.500 0.780

Output
ρ: 11.3 g/cm³
ΔE to the lowest computed polymorph: 109 meV per atom
DOS at the Fermi energy: 4.06 states/eV/f.u.
formation energy from the elements: 0.33 eV per atom
space group: P4mm, No. 99
uncorrected energy: -33.5 eV per cell


# 12
Compound: LiMoOs4
Source: the Alexandria database
Functional: GGA-PBE
Structure: optimized geometry

a b c (Å): 5.109 5.109 5.109
angles (deg): 60.00 60.00 60.00
Fractional positions:
Li1 0.000 0.000 0.000
Mo1 0.750 0.750 0.750
Os1 0.375 0.375 0.375
Os2 0.375 0.375 0.876
Os3 0.375 0.876 0.375
Os4 0.876 0.375 0.375

Output
ρ: 15.2 g/cm³
DOS at the Fermi energy: 4.90 states/eV/f.u.
formation energy from the elements: 0.44 eV per atom
space group: F-43m, No. 216
uncorrected energy: -55.0 eV per cell


# 13
Compound: LiMo2Os
Source: the Alexandria database
Functional: GGA-PBE
Structure: optimized geometry

a b c (Å): 2.760 2.760 7.927
angles (deg): 90.00 90.00 90.00
Fractional positions:
Li1 0.000 0.000 0.000
Mo1 0.000 0.000 0.538
Mo2 0.500 0.500 0.266
Os1 0.500 0.500 0.766

Output
ρ: 10.7 g/cm³
ΔE to the lowest computed polymorph: 174 meV per atom
DOS at the Fermi energy: 4.79 states/eV/f.u.
formation energy from the elements: 0.40 eV per atom
space group: P4mm, No. 99
uncorrected energy: -33.2 eV per cell


# 14
Compound: LiMo2Os
Source: the Alexandria database
Functional: GGA-PBE
Structure: optimized geometry

a b c (Å): 2.671 2.671 9.178
angles (deg): 90.00 90.00 110.64
Fractional positions:
Li1 0.000 0.000 0.000
Mo1 0.000 0.000 0.484
Mo2 0.500 0.500 0.732
Os1 0.500 0.500 0.243

Output
ρ: 10.5 g/cm³
ΔE to the lowest computed polymorph: 51 meV per atom
DOS at the Fermi energy: 3.63 states/eV/f.u.
formation energy from the elements: 0.27 eV per atom
space group: Cmm2, No. 35
uncorrected energy: -33.7 eV per cell


# 15
Compound: LiMo2Os
Source: the Alexandria database
Functional: GGA-PBE
Structure: optimized geometry

a b c (Å): 5.703 5.703 5.703
angles (deg): 101.87 101.87 126.07
Fractional positions:
Li1 0.000 0.000 0.000
Li2 0.750 0.250 0.500
Mo1 0.159 0.625 0.034
Mo2 0.375 0.409 0.534
Mo3 0.591 0.125 0.966
Mo4 0.875 0.841 0.466
Os1 0.250 0.750 0.500
Os2 0.500 0.500 0.000

Output
ρ: 9.7 g/cm³
ΔE to the lowest computed polymorph: 527 meV per atom
DOS at the Fermi energy: 3.63 states/eV/f.u.
formation energy from the elements: 0.75 eV per atom
space group: I-42d, No. 122
uncorrected energy: -63.6 eV per cell


# 16
Compound: LiMo2Os
Source: the Alexandria database
Functional: GGA-PBE
Structure: optimized geometry

a b c (Å): 4.350 4.350 4.350
angles (deg): 60.00 60.00 60.00
Fractional positions:
Li1 0.000 0.000 0.000
Mo1 0.250 0.250 0.250
Mo2 0.750 0.750 0.750
Os1 0.500 0.500 0.500

Output
ρ: 11.1 g/cm³
ΔE to the lowest computed polymorph: 53 meV per atom
DOS at the Fermi energy: 2.66 states/eV/f.u.
formation energy from the elements: 0.28 eV per atom
space group: Fm-3m, No. 225
uncorrected energy: -33.7 eV per cell


# 17
Compound: LiMo2Os2
Source: the Alexandria database
Functional: GGA-PBE
Structure: optimized geometry

a b c (Å): 7.623 7.623 2.817
angles (deg): 90.00 90.00 90.00
Fractional positions:
Li1 0.000 0.000 0.000
Li2 0.500 0.500 0.000
Mo1 0.156 0.344 0.500
Mo2 0.344 0.844 0.500
Mo3 0.656 0.156 0.500
Mo4 0.844 0.656 0.500
Os1 0.138 0.638 0.000
Os2 0.362 0.138 0.000
Os3 0.638 0.862 0.000
Os4 0.862 0.362 0.000

Output
ρ: 11.8 g/cm³
ΔE to the lowest computed polymorph: 0 meV per atom
DOS at the Fermi energy: 3.35 states/eV/f.u.
formation energy from the elements: 0.19 eV per atom
space group: P4/mbm, No. 127
uncorrected energy: -90.2 eV per cell


# 18
Compound: LiMo2Os2
Source: the Alexandria database
Functional: GGA-PBE
Structure: optimized geometry

a b c (Å): 7.684 7.684 2.786
angles (deg): 90.00 90.00 90.00
Fractional positions:
Li1 0.000 0.000 0.000
Li2 0.500 0.500 0.000
Mo1 0.150 0.350 0.000
Mo2 0.350 0.850 0.000
Mo3 0.650 0.150 0.000
Mo4 0.850 0.650 0.000
Os1 0.143 0.643 0.500
Os2 0.357 0.143 0.500
Os3 0.643 0.857 0.500
Os4 0.857 0.357 0.500

Output
ρ: 11.7 g/cm³
ΔE to the lowest computed polymorph: 24 meV per atom
DOS at the Fermi energy: 3.12 states/eV/f.u.
formation energy from the elements: 0.22 eV per atom
space group: P4/mbm, No. 127
uncorrected energy: -89.9 eV per cell


# 19
Compound: LiMo2Os
Source: the Alexandria database
Functional: GGA-PBE
Structure: optimized geometry

a b c (Å): 4.632 4.632 4.903
angles (deg): 96.17 96.17 34.36
Fractional positions:
Li1 0.000 0.000 0.000
Mo1 0.247 0.247 0.771
Mo2 0.491 0.491 0.488
Os1 0.746 0.746 0.254

Output
ρ: 11.0 g/cm³
ΔE to the lowest computed polymorph: 108 meV per atom
DOS at the Fermi energy: 4.40 states/eV/f.u.
formation energy from the elements: 0.33 eV per atom
space group: Cm, No. 8
uncorrected energy: -33.5 eV per cell


# 20
Compound: LiMoOs
Source: the Alexandria database
Functional: GGA-PBE
Structure: optimized geometry

a b c (Å): 4.508 4.508 4.508
angles (deg): 145.07 125.28 66.59
Fractional positions:
Li1 0.000 0.000 0.000
Mo1 0.330 0.330 0.000
Os1 0.664 0.664 0.000

Output
ρ: 11.5 g/cm³
ΔE to the lowest computed polymorph: 92 meV per atom
DOS at the Fermi energy: 2.14 states/eV/f.u.
formation energy from the elements: 0.22 eV per atom
space group: Imm2, No. 44
uncorrected energy: -23.3 eV per cell


# 21
Compound: LiMoOs
Source: the Alexandria database
Functional: GGA-PBE
Structure: optimized geometry

a b c (Å): 7.321 7.126 2.665
angles (deg): 83.51 75.29 21.20
Fractional positions:
Li1 0.000 0.000 0.000
Mo1 0.679 0.679 0.321
Os1 0.337 0.337 0.663

Output
ρ: 10.7 g/cm³
ΔE to the lowest computed polymorph: 185 meV per atom
DOS at the Fermi energy: 2.75 states/eV/f.u.
formation energy from the elements: 0.32 eV per atom
space group: Fmm2, No. 42
uncorrected energy: -23.0 eV per cell


# 22
Compound: LiMo2Os
Source: the Alexandria database
Functional: GGA-PBE
Structure: optimized geometry

a b c (Å): 9.637 9.637 9.637
angles (deg): 16.42 16.42 16.42
Fractional positions:
Li1 0.000 0.000 0.000
Mo1 0.246 0.246 0.246
Mo2 0.754 0.754 0.754
Os1 0.500 0.500 0.500

Output
ρ: 10.4 g/cm³
ΔE to the lowest computed polymorph: 80 meV per atom
DOS at the Fermi energy: 3.93 states/eV/f.u.
formation energy from the elements: 0.30 eV per atom
space group: R-3m, No. 166
uncorrected energy: -33.6 eV per cell


# 23
Compound: LiMoOsPb2
Source: the Alexandria database
Functional: GGA-PBE
Structure: optimized geometry

a b c (Å): 5.222 5.222 4.772
angles (deg): 90.00 90.00 90.00
Fractional positions:
Li1 0.000 0.000 0.000
Mo1 0.500 0.500 0.000
Os1 0.000 0.000 0.500
Pb1 0.000 0.500 0.500
Pb2 0.500 0.000 0.500

Output
ρ: 9.0 g/cm³
DOS at the Fermi energy: 2.47 states/eV/f.u.
formation energy from the elements: 1.24 eV per atom
space group: P4/mmm, No. 123
uncorrected energy: -25.2 eV per cell


# 24
Compound: LiReMoOs
Source: the Alexandria database
Functional: GGA-PBE
Structure: optimized geometry

a b c (Å): 4.317 4.317 4.317
angles (deg): 60.00 60.00 60.00
Fractional positions:
Li1 0.000 0.000 0.000
Re1 0.500 0.500 0.500
Mo1 0.750 0.750 0.750
Os1 0.250 0.250 0.250

Output
ρ: 14.0 g/cm³
DOS at the Fermi energy: 4.89 states/eV/f.u.
formation energy from the elements: 0.20 eV per atom
space group: F-43m, No. 216
uncorrected energy: -35.6 eV per cell


# 25
Compound: LiMoOsRh
Source: the Alexandria database
Functional: GGA-PBE
Structure: optimized geometry

a b c (Å): 4.289 4.289 4.289
angles (deg): 60.00 60.00 60.00
Fractional positions:
Li1 0.000 0.000 0.000
Mo1 0.500 0.500 0.500
Os1 0.750 0.750 0.750
Rh1 0.250 0.250 0.250

Output
ρ: 11.8 g/cm³
DOS at the Fermi energy: 0.93 states/eV/f.u.
formation energy from the elements: -0.04 eV per atom
space group: F-43m, No. 216
uncorrected energy: -31.5 eV per cell


# 26
Compound: LiMoOsRu
Source: the Alexandria database
Functional: GGA-PBE
Structure: optimized geometry

a b c (Å): 4.282 4.282 4.282
angles (deg): 60.00 60.00 60.00
Fractional positions:
Li1 0.000 0.000 0.000
Mo1 0.500 0.500 0.500
Os1 0.750 0.750 0.750
Ru1 0.250 0.250 0.250

Output
ρ: 11.8 g/cm³
DOS at the Fermi energy: 2.58 states/eV/f.u.
formation energy from the elements: 0.06 eV per atom
space group: F-43m, No. 216
uncorrected energy: -33.0 eV per cell


# 27
Compound: LiTmMoOs
Source: the Alexandria database
Functional: GGA-PBE
Structure: optimized geometry

a b c (Å): 4.572 4.572 4.572
angles (deg): 60.00 60.00 60.00
Fractional positions:
Li1 0.000 0.000 0.000
Tm1 0.750 0.750 0.750
Mo1 0.250 0.250 0.250
Os1 0.500 0.500 0.500

Output
ρ: 11.4 g/cm³
DOS at the Fermi energy: 2.60 states/eV/f.u.
formation energy from the elements: 0.07 eV per atom
space group: F-43m, No. 216
uncorrected energy: -28.2 eV per cell


# 28
Compound: LiZnMoOs
Source: the Alexandria database
Functional: GGA-PBE
Structure: optimized geometry

a b c (Å): 4.293 4.293 4.293
angles (deg): 60.00 60.00 60.00
Fractional positions:
Li1 0.000 0.000 0.000
Zn1 0.750 0.750 0.750
Mo1 0.250 0.250 0.250
Os1 0.500 0.500 0.500

Output
ρ: 10.6 g/cm³
DOS at the Fermi energy: 2.09 states/eV/f.u.
formation energy from the elements: 0.02 eV per atom
space group: F-43m, No. 216
uncorrected energy: -25.2 eV per cell


# 29
Compound: LiMo2P
Source: the Alexandria database
Functional: GGA-PBE
Structure: optimized geometry

a b c (Å): 3.579 4.843 4.843
angles (deg): 38.62 90.00 90.00
Fractional positions:
Li1 0.000 0.000 0.000
Mo1 0.000 0.273 0.273
Mo2 0.500 0.579 0.579
P1 0.500 0.860 0.860

Output
ρ: 7.3 g/cm³
DOS at the Fermi energy: 2.39 states/eV/f.u.
formation energy from the elements: -0.08 eV per atom
space group: Amm2, No. 38
uncorrected energy: -29.3 eV per cell